No. 1
The following is a DFT calculation (PBE) of an optimized crystal structure of LiZr2Hg.

Summary:
The value obtained for the energy of formation is 23 meV/atom.

Unit cell a=5.225 b=5.225 c=3.289 alpha=90.00 beta=90.00 gamma=113.36
Fractional coordinates of all 4 atoms:
Zr: 0.500 0.500 0.000
Zr: 0.000 0.000 0.000
Hg: 0.500 0.000 0.500
Li: 0.000 0.500 0.500



No. 2
The following is a DFT calculation (PBE) of an optimized crystal structure of Li3ZrHg4.

Summary:
The value obtained for the energy of formation is -301 meV/atom.

Unit cell a=3.317 b=3.317 c=13.784 alpha=90.00 beta=90.00 gamma=90.00
Fractional coordinates of all 8 atoms:
Hg: 0.000 0.000 0.856
Hg: 0.000 0.000 0.144
Li: 0.500 0.500 0.262
Li: 0.500 0.500 0.500
Hg: 0.000 0.000 0.618
Li: 0.500 0.500 0.738
Hg: 0.000 0.000 0.382
Zr: 0.500 0.500 0.000



Question: energy of formation of number 1 (LiZr2Hg)?
Answer: 23 meV/atom